A plane-wave DFT calculation with GGA-PBE was carried out for a relaxed Be2AlSi crystal.

Geometry as CIF:
```
data_Be2AlSi
_symmetry_space_group_name_H-M 'P 1'
_symmetry_Int_Tables_number 1
_cell_length_a 3.841
_cell_length_b 3.841
_cell_length_c 7.942
_cell_angle_alpha 76.01
_cell_angle_beta 76.01
_cell_angle_gamma 90.00
loop_
_symmetry_equiv_pos_as_xyz
'x,y,z'
loop_
_atom_site_label
_atom_site_fract_x
_atom_site_fract_y
_atom_site_fract_z
Al1 0.250 0.750 0.500
Al2 0.500 0.500 0.000
Si1 0.750 0.250 0.500
Si2 0.000 0.000 0.000
Be1 0.664 0.125 0.250
Be2 0.375 0.336 0.750
Be3 0.875 0.914 0.750
Be4 0.086 0.625 0.250
```

Relative energy among the computed polymorphs, meV/atom: 212.2
Space-group type: I-42d, No. 122
Formation energy from raw total energies, eV/atom: 0.349
Theoretical density, g cm⁻³: 2.205